[1]
{
  "formula": "SrAlFe",
  "functional": "PBE",
  "state": "relaxed",
  "sg": "F-43m, No. 216",
  "e_tot_ev_per_atom": -3.36,
  "lattice_angstrom": [[0.380, -0.768, 4.970], [0.098, 3.931, 3.159], [-3.946, 0.920, 3.003]],
  "species": ["Al", "Sr", "Fe"],
  "fractional_positions": [[0.250, 0.250, 0.250], [0.000, 0.000, 0.000], [0.750, 0.750, 0.750]]
}

***

[2]
{
  "formula": "Pr3Mg3Cd2Ir",
  "functional": "PBE",
  "state": "relaxed",
  "sg": "P-62m, No. 189",
  "e_tot_ev_per_atom": -3.62,
  "lattice_angstrom": [[7.695, 0.000, 0.000], [-3.847, 6.664, 0.000], [0.000, 0.000, 4.518]],
  "species": ["Cd", "Cd", "Mg", "Mg", "Mg", "Pr", "Pr", "Pr", "Ir"],
  "fractional_positions": [[0.667, 0.333, 0.500], [0.333, 0.667, 0.500], [0.774, 0.774, 0.500], [0.000, 0.226, 0.500], [0.226, 0.000, 0.500], [0.000, 0.614, 0.000], [0.614, 0.000, 0.000], [0.386, 0.386, 0.000], [0.000, 0.000, 0.000]]
}

***

Repeat the second record exactly.
{
  "formula": "Pr3Mg3Cd2Ir",
  "functional": "PBE",
  "state": "relaxed",
  "sg": "P-62m, No. 189",
  "e_tot_ev_per_atom": -3.62,
  "lattice_angstrom": [[7.695, 0.000, 0.000], [-3.847, 6.664, 0.000], [0.000, 0.000, 4.518]],
  "species": ["Cd", "Cd", "Mg", "Mg", "Mg", "Pr", "Pr", "Pr", "Ir"],
  "fractional_positions": [[0.667, 0.333, 0.500], [0.333, 0.667, 0.500], [0.774, 0.774, 0.500], [0.000, 0.226, 0.500], [0.226, 0.000, 0.500], [0.000, 0.614, 0.000], [0.614, 0.000, 0.000], [0.386, 0.386, 0.000], [0.000, 0.000, 0.000]]
}